No. 1
NaLa3Tb2Te6 (PBE-GGA, optimized geometry); raw formation energy = -1.4451 eV per atom; calculated volume = 32.27 Å³/atom; calculated total energy = -5.129 eV/atom
1.0
9.802 -2.249 0.000
9.802 2.249 0.000
-1.988 0.000 8.783
Na La Tb Te
1 3 2 6
Direct
0.000 0.000 0.000
0.000 0.000 0.500
0.337 0.337 0.170
0.663 0.663 0.830
0.332 0.332 0.658
0.668 0.668 0.342
0.166 0.166 0.095
0.169 0.169 0.578
0.494 0.494 0.754
0.506 0.506 0.246
0.831 0.831 0.422
0.834 0.834 0.905

=====

No. 2
NaLa2TbTe4 (PBE-GGA, optimized geometry); raw formation energy = -1.4354 eV per atom; calculated volume = 32.59 Å³/atom; calculated total energy = -4.982 eV/atom
1.0
7.775 0.000 0.000
0.000 4.508 0.000
-2.609 0.000 7.439
Na La Tb Te
1 2 1 4
Direct
0.000 0.000 0.000
0.500 0.000 0.500
0.500 0.500 0.000
0.000 0.500 0.500
0.236 0.000 0.744
0.240 0.500 0.250
0.760 0.500 0.750
0.764 0.000 0.256

=====

No. 3
Na2La3TbTe6 (PBE-GGA, optimized geometry); raw formation energy = -1.4233 eV per atom; calculated volume = 33.13 Å³/atom; calculated total energy = -4.832 eV/atom
1.0
3.950 -6.831 0.000
3.950 6.831 0.000
-2.624 0.000 7.368
Na La Tb Te
2 3 1 6
Direct
0.165 0.835 0.000
0.835 0.165 0.000
0.000 0.000 0.500
0.329 0.671 0.500
0.671 0.329 0.500
0.500 0.500 0.000
0.093 0.420 0.760
0.256 0.256 0.246
0.420 0.093 0.760
0.580 0.907 0.240
0.744 0.744 0.754
0.907 0.580 0.240

=====

No. 4
Na2LaTc (PBE-GGA, optimized geometry); energy of formation = 0.91 eV per atom; calculated volume = 24.97 Å³/atom; calculated total energy = -3.573 eV/atom
1.0
0.000 3.683 3.683
3.683 0.000 3.683
3.683 3.683 0.000
Na La Tc
2 1 1
Direct
0.250 0.250 0.250
0.750 0.750 0.750
0.000 0.000 0.000
0.500 0.500 0.500

=====

No. 5
NaLa2Tc (PBE-GGA, optimized geometry); energy of formation = 0.19 eV per atom; calculated volume = 35.10 Å³/atom; calculated total energy = -5.198 eV/atom
1.0
2.074 1.198 9.421
-2.074 1.198 9.421
0.000 -2.395 9.421
Na La Tc
1 2 1
Direct
0.000 0.000 0.000
0.222 0.222 0.222
0.447 0.447 0.447
0.835 0.835 0.835

=====

No. 6
NaLaTc3 (PBE-GGA, optimized geometry); energy of formation = 1.93 eV per atom; calculated volume = 21.39 Å³/atom; calculated total energy = -5.543 eV/atom
1.0
4.747 0.000 0.000
0.000 4.747 0.000
0.000 0.000 4.747
Na La Tc
1 1 3
Direct
0.000 0.000 0.000
0.500 0.500 0.500
0.000 0.000 0.500
0.000 0.500 0.000
0.500 0.000 0.000